No. 1
The following is a PBEsol calculation of an optimized crystal structure of Y3Te2, from the Alexandria database.

abc: 4.0296 4.0296 10.5099
angles: 90.00 90.00 120.00
Space group P-3m1 (No. 164)
Symmetry-distinct sites (fractional):
1 Y 0.0000 0.0000 0.0000 [1 per cell]
2 Y 0.3333 0.6667 0.3709 [2 per cell]
3 Te 0.3333 0.6667 0.8176 [2 per cell]

Computed properties:
The uncorrected formation energy is -1.026 eV/atom. The value obtained for the theoretical density is 5.86 g/cm³.

***

No. 2
The following is a PBEsol calculation of an optimized crystal structure of Mg2CdTc, from the Alexandria database.

abc: 3.377 4.535 9.423
angles: 90.00 90.00 90.00
Space group Cmm2 (No. 35)
Symmetry-distinct sites (fractional):
1 Mg 0.000 0.000 0.000 [2 per cell]
2 Mg 0.000 0.500 0.276 [2 per cell]
3 Cd 0.000 0.000 0.538 [2 per cell]
4 Tc 0.000 0.500 0.777 [2 per cell]

Computed properties:
The calculation puts the formation energy at 0.280 eV/atom. The value obtained for the theoretical density is 5.96 g/cm³.

***

No. 3
The following is a PBEsol calculation of an optimized crystal structure of BaBe2Re, from the Alexandria database.

abc: 2.925 2.925 7.722
angles: 90.00 90.00 90.00
Space group P4mm (No. 99)
Symmetry-distinct sites (fractional):
1 Ba 0.000 0.000 0.000 [1 per cell]
2 Be 0.000 0.000 0.468 [1 per cell]
3 Be 0.500 0.500 0.339 [1 per cell]
4 Re 0.500 0.500 0.644 [1 per cell]

Computed properties:
The calculation puts the formation energy at 0.780 eV/atom. The value obtained for the theoretical density is 8.59 g/cm³.

***

Number 1: final energy -6.530 eV per atom. Number 2: final energy -3.694 eV per atom. Number 3: final energy -5.090 eV per atom.